Entry 1:
Computed, not measured: a relaxed ScSbP crystal at the GGA-PBE level of DFT.

POSCAR file:
```
ScSbP
1.0
-1.794 1.794 5.176
1.794 -1.794 5.176
1.794 1.794 -5.176
Sc Sb P
1 1 1
direct
0.000 0.000 0.000
0.692 0.692 0.000
0.438 0.438 0.000
```

For the total energy, the calculation gives -5.984 eV per atom. The density of states at the Fermi level is 0.36 states/eV per atom. The calculation puts the energy above the most stable polymorph in this dataset at 0.0 meV per atom.

Entry 2:
Computed, not measured: a relaxed Tm2TiC crystal at the GGA-PBE level of DFT.

POSCAR file:
```
Tm2TiC
1.0
1.704 0.984 8.794
-1.704 0.984 8.794
0.000 -1.967 8.794
Tm Ti C
2 1 1
direct
0.116 0.116 0.116
0.884 0.884 0.884
0.000 0.000 0.000
0.500 0.500 0.500
```

The calculation puts the formation energy at 0.15 eV/atom. For the total energy, the calculation gives -6.367 eV per atom. The density of states at the Fermi level is 0.82 states/eV per atom.

Entry 3:
Computed, not measured: a relaxed ReOs2W crystal at the GGA-PBE level of DFT.

POSCAR file:
```
ReOs2W
1.0
-2.829 2.829 5.639
2.829 -2.829 5.639
2.829 2.829 -5.639
Re Os W
2 4 2
direct
0.000 0.000 0.000
0.750 0.250 0.500
0.118 0.625 0.993
0.375 0.368 0.493
0.632 0.125 0.007
0.875 0.882 0.507
0.250 0.750 0.500
0.500 0.500 0.000
```

The calculation puts the formation energy at 1.44 eV/atom. For the total energy, the calculation gives -10.528 eV per atom. The density of states at the Fermi level is 1.22 states/eV per atom. The calculation puts the energy above the most stable polymorph in this dataset at 1449.0 meV per atom.

Entry 4:
Computed, not measured: a relaxed SrZnTc crystal at the GGA-PBE level of DFT.

POSCAR file:
```
SrZnTc
1.0
4.924 0.000 0.000
-2.462 4.264 0.000
0.000 0.000 2.963
Sr Zn Tc
1 1 1
direct
0.000 0.000 0.000
0.333 0.667 0.499
0.667 0.333 0.502
```

The calculation puts the formation energy at 0.63 eV/atom. For the total energy, the calculation gives -3.809 eV per atom. The density of states at the Fermi level is 1.08 states/eV per atom. The calculation puts the energy above the most stable polymorph in this dataset at 597.2 meV per atom.

Entry 5:
Computed, not measured: a relaxed LaRhS2N crystal at the GGA-PBE level of DFT.

POSCAR file:
```
LaRhS2N
1.0
4.905 0.000 0.000
0.000 4.905 0.000
0.000 0.000 3.774
La Rh S N
1 1 2 1
direct
0.000 0.000 0.000
0.500 0.500 0.500
0.000 0.500 0.500
0.500 0.000 0.500
0.500 0.500 0.000
```

For the total energy, the calculation gives -6.497 eV per atom. The density of states at the Fermi level is 0.45 states/eV per atom. The calculation puts the energy above the most stable polymorph in this dataset at 0.0 meV per atom.

Entry 6:
Computed, not measured: a relaxed Pr3Nd2Dy7 crystal at the GGA-PBE level of DFT.

POSCAR file:
```
Pr3Nd2Dy7
1.0
6.408 0.000 0.000
0.000 3.563 0.000
-1.933 0.000 17.609
Pr Nd Dy
3 2 7
direct
0.000 0.000 0.000
0.045 0.500 0.660
0.955 0.500 0.340
0.447 0.000 0.327
0.553 0.000 0.673
0.229 0.500 0.164
0.246 0.000 0.500
0.275 0.000 0.835
0.500 0.500 0.000
0.725 0.000 0.165
0.754 0.000 0.500
0.771 0.500 0.836
```

The calculation puts the formation energy at 0.08 eV/atom. For the total energy, the calculation gives -4.590 eV per atom. The density of states at the Fermi level is 1.47 states/eV per atom.